(1)
YFeRh2: optimized geometry, PBE.

a b c (Å): 6.4275 6.4275 6.4275
angles (deg): 90.00 90.00 90.00
Closest atoms and distances in Å follow each position.
Space group F-43m (No. 216)
Inequivalent atoms, fractional coordinates:
1 Y 0.0000 0.0000 0.0000 x4  4 Fe 2.78, 4 Rh 2.78
2 Fe 0.2500 0.2500 0.2500 x4  4 Rh 2.78, 4 Y 2.78
3 Rh 0.0000 0.0000 0.5000 x4  4 Fe 2.78, 4 Rh 2.78
4 Rh 0.2500 0.2500 0.7500 x4  4 Rh 2.78, 4 Y 2.78

Output
As for the total DFT energy (no corrections): -0.2757 Ha/atom. The calculation puts the formation energy at -0.09 eV/atom. The density is 8.77 g/cm3. For the density of states at the Fermi level, the calculation gives 1.451 states/eV/atom. The size of the total moment comes out at 12.7 Bohr magnetons per cell.

---

(2)
Li4BeW: optimized geometry, PBE.

a b c (Å): 6.8520 6.8520 6.8520
angles (deg): 90.00 90.00 90.00
Closest atoms and distances in Å follow each position.
Space group F-43m (No. 216)
Inequivalent atoms, fractional coordinates:
1 Li 0.1252 0.1252 0.1252 x16  6 Li 2.42-2.43
2 Be 0.0000 0.0000 0.5000 x4  12 Li 2.84, 4 W 2.97
3 W 0.2500 0.2500 0.7500 x4  12 Li 2.84, 4 Be 2.97

Output
As for the total DFT energy (no corrections): -0.1220 Ha/atom. The calculation puts the formation energy at 0.74 eV/atom. The density is 4.56 g/cm3. For the density of states at the Fermi level, the calculation gives 0.241 states/eV/atom. The size of the total moment comes out at 8.4 Bohr magnetons per cell.

---

Q: Look up the total DFT energy (no corrections) of the second one.
A: -0.1220 Ha/atom